[1]
Density functional theory data (PBEsol) for crystalline YTcRh2 at its relaxed geometry.

Results
VASP energy, eV per atom: -8.58
ΔE to the lowest computed polymorph, meV per atom: 85
SG: C2/m

Cell: 2.8513 4.7732 5.0694 Å, 99.52 90.00 107.38°
Sites, in units of the cell vectors:
Rh 0.7439 0.4879 0.7124
Rh 0.2561 0.5121 0.2876
Tc 0.0000 0.0000 0.5000
Y 0.5000 0.0000 0.0000

---

[2]
Density functional theory data (PBEsol) for crystalline YTcRh2 at its relaxed geometry.

Results
VASP energy, eV per atom: -8.67
ΔE to the lowest computed polymorph, meV per atom: 0
SG: Immm

Cell: 4.0586 4.1304 4.7968 Å, 115.50 115.03 90.00°
Sites, in units of the cell vectors:
Rh 0.7518 0.7518 0.5036
Rh 0.2482 0.2482 0.4964
Tc 0.5000 0.0000 0.0000
Y 0.0000 0.5000 0.0000

---

[3]
Density functional theory data (PBEsol) for crystalline YTc2Rh2 at its relaxed geometry.

Results
VASP energy, eV per atom: -9.17
SG: I4/mmm

Cell: 3.7202 3.7202 6.6488 Å, 106.25 106.25 90.00°
Sites, in units of the cell vectors:
Y 0.0000 0.0000 0.0000
Rh 0.3971 0.3971 0.7942
Rh 0.6029 0.6029 0.2058
Tc 0.2500 0.7500 0.5000
Tc 0.7500 0.2500 0.5000

---

Number 1: DOS at the Fermi energy 4.495 states/eV per cell. Number 2: DOS at the Fermi energy 5.337 states/eV per cell. Number 3: DOS at the Fermi energy 4.703 states/eV per cell.